The following is a SCAN calculation of a crystal of Ca3TlZn relaxed with PBEsol, from Alexandria.

The structure in POSCAR format:
```
Ca3TlZn
1.0
5.8831 0.0000 0.0000
0.0000 5.8831 0.0000
0.0000 0.0000 5.8831
Ca Tl Zn
3 1 1
Direct
0.0000 0.0000 0.5000 Ca
0.0000 0.5000 0.0000 Ca
0.5000 0.0000 0.0000 Ca
0.0000 0.0000 0.0000 Tl
0.5000 0.5000 0.5000 Zn
```

Calculated values
E_tot   -22.9028 eV per atom
ρ   3.18 g cm⁻³


The following is a SCAN calculation of a crystal of In2TcSe relaxed with PBEsol, from Alexandria.

The structure in POSCAR format:
```
In2TcSe
1.0
-1.5291 2.2886 5.9830
1.5291 -2.2886 5.9830
1.5291 2.2886 -5.9830
In Tc Se
2 1 1
Direct
0.0000 0.0000 0.0000 In
0.6848 0.1848 0.5000 In
0.4793 0.4793 0.0000 Tc
0.3189 0.8189 0.5000 Se
```

Calculated values
E_tot   -30.4555 eV per atom
E_form (uncorrected)   0.022 eV per atom
ρ   8.06 g cm⁻³


The following is a SCAN calculation of a crystal of InMo2Ru relaxed with PBEsol, from Alexandria.

The structure in POSCAR format:
```
InMo2Ru
1.0
3.2068 0.0000 0.0000
0.0000 4.2852 0.0000
0.0000 0.0000 4.5740
In Mo Ru
1 2 1
Direct
0.0000 0.0000 0.0000 In
0.0000 0.5000 0.5000 Mo
0.5000 0.0000 0.5000 Mo
0.5000 0.5000 0.0000 Ru
```

Calculated values
E_tot   -34.2562 eV per atom
ρ   10.77 g cm⁻³


Number 1: magnetization 0.71 μB per formula unit, volume 204 Å³/cell. Number 2: magnetization 0.00 μB per formula unit, volume 84 Å³/cell. Number 3: magnetization 0.00 μB per formula unit, volume 63 Å³/cell.